Entry 1:
## HfTcC3 (PBE)

Data for a relaxed structure of HfTcC3.

abc: 3.9302 3.9302 3.9302
angles: 90.00 90.00 90.00
With the nearest neighbours (Å) after each atom.
Element x y z (fractional)
C  0.0000  0.5000  0.0000  2 Tc 1.97
C  0.0000  0.0000  0.5000  2 Tc 1.97
C  0.5000  0.0000  0.0000  2 Tc 1.97
Hf  0.5000  0.5000  0.5000  12 C 2.78
Tc  0.0000  0.0000  0.0000  6 C 1.97

Summary:
DOS at the Fermi energy: 1.86 states/eV/cell
crystal system: cubic
energy above the most stable polymorph in this dataset: 0.0 meV/atom


Entry 2:
## HfTc3C (PBE)

Data for a relaxed structure of HfTc3C.

abc: 4.7494 4.7494 4.7494
angles: 90.00 90.00 90.00
With the nearest neighbours (Å) after each atom.
Element x y z (fractional)
C  0.5000  0.5000  0.5000  12 Tc 3.36
Hf  0.0000  0.0000  0.0000  6 Tc 2.37
Tc  0.0000  0.5000  0.0000  2 Hf 2.37
Tc  0.0000  0.0000  0.5000  2 Hf 2.37
Tc  0.5000  0.0000  0.0000  2 Hf 2.37

Summary:
DOS at the Fermi energy: 5.07 states/eV/cell
crystal system: cubic
energy above the most stable polymorph in this dataset: 3414.7 meV/atom